Crystalline PrAg12 at its relaxed geometry, computed with PBE-GGA.

Output
The value obtained for the energy of formation from the pure elements is -0.0354 eV per atom. The symmetry is I4/mmm, No. 139. The calculation puts the density of states at the Fermi level at 0.38 states/eV per atom.

abc: 5.5408 7.3480 7.3480
angles: 81.83 67.85 67.85
Positions (direct):
Pr1 0.0000 0.0000 0.0000
Ag1 0.5000 0.0000 0.5000
Ag2 0.0000 0.0000 0.5000
Ag3 0.5000 0.5000 0.0000
Ag4 0.0000 0.5000 0.0000
Ag5 0.0000 0.6482 0.3518
Ag6 0.0000 0.3518 0.6482
Ag7 0.6482 0.3518 0.3518
Ag8 0.3518 0.6482 0.6482
Ag9 0.5000 0.2156 0.7844
Ag10 0.5000 0.7844 0.2156
Ag11 0.7156 0.7844 0.7844
Ag12 0.2844 0.2156 0.2156

---

Crystalline Rb3LiF at its relaxed geometry, computed with PBE-GGA.

Output
The uncorrected formation energy is -0.935 eV/atom. The symmetry is Pm-3m, No. 221. The calculation puts the density of states at the Fermi level at 0.63 states/eV per atom. The calculation puts the relative energy among the computed polymorphs at 0.0 kJ/mol of formula units.

abc: 5.9801 5.9801 5.9801
angles: 90.00 90.00 90.00
Positions (direct):
Li1 0.5000 0.5000 0.5000
Rb1 0.0000 0.5000 0.0000
Rb2 0.0000 0.0000 0.5000
Rb3 0.5000 0.0000 0.0000
F1 0.0000 0.0000 0.0000

---

Crystalline BaLa2Pm at its relaxed geometry, computed with PBE-GGA.

Output
The value obtained for the energy of formation from the pure elements is 0.0938 eV per atom. The symmetry is P4/mmm, No. 123. The calculation puts the density of states at the Fermi level at 1.50 states/eV per atom. The calculation puts the relative energy among the computed polymorphs at 0.0 kJ/mol of formula units.

abc: 3.8159 3.8159 11.1839
angles: 90.00 90.00 90.00
Positions (direct):
La1 0.0000 0.0000 0.7821
La2 0.0000 0.0000 0.2179
Ba1 0.5000 0.5000 0.5000
Pm1 0.5000 0.5000 0.0000